Record 1
# ErPuMg2Hg4 (PBE, optimized geometry)
data_ErPuMg2Hg4
_space_group_name_H-M_alt 'R -3 m'
_space_group_IT_number 166
_space_group_name_Hall '-R 3 2"'
_cell_length_a 5.0876
_cell_length_b 5.0876
_cell_length_c 25.0450
_cell_angle_alpha 90.00
_cell_angle_beta 90.00
_cell_angle_gamma 120.00
loop_
_atom_site_label
_atom_site_type_symbol
_atom_site_fract_x
_atom_site_fract_y
_atom_site_fract_z
Er1 Er 0.0000 0.0000 0.0000
Pu1 Pu 0.0000 0.0000 0.5000
Mg1 Mg 0.0000 0.0000 0.2498
Hg1 Hg 0.0000 0.0000 0.1225
Hg2 Hg 0.0000 0.0000 0.3733
# * crystal system: trigonal
# * formation energy from the elements: -0.324 eV/atom

***

Record 2
# YNi4Bi (PBE, optimized geometry)
data_YNi4Bi
_space_group_name_H-M_alt 'F -4 3 m'
_space_group_IT_number 216
_space_group_name_Hall 'F -4 2 3'
_cell_length_a 7.179
_cell_length_b 7.179
_cell_length_c 7.179
_cell_angle_alpha 90.00
_cell_angle_beta 90.00
_cell_angle_gamma 90.00
loop_
_atom_site_label
_atom_site_type_symbol
_atom_site_fract_x
_atom_site_fract_y
_atom_site_fract_z
Y1 Y 0.000 0.000 0.000
Ni1 Ni 0.126 0.126 0.374
Bi1 Bi 0.250 0.250 0.750
# * crystal system: cubic
# * formation energy from the elements: -0.230 eV/atom

***

Record 3
# RbHoAg2 (PBE, optimized geometry)
data_RbHoAg2
_space_group_name_H-M_alt 'P 4/m m m'
_space_group_IT_number 123
_space_group_name_Hall '-P 4 2'
_cell_length_a 3.789
_cell_length_b 3.789
_cell_length_c 8.473
_cell_angle_alpha 90.00
_cell_angle_beta 90.00
_cell_angle_gamma 90.00
loop_
_atom_site_label
_atom_site_type_symbol
_atom_site_fract_x
_atom_site_fract_y
_atom_site_fract_z
Rb1 Rb 0.000 0.000 0.000
Ho1 Ho 0.000 0.000 0.500
Ag1 Ag 0.500 0.500 0.324
# * crystal system: tetragonal
# * formation energy from the elements: -0.083 eV/atom

***

Record 4
# La3SmTh2S6 (PBE, optimized geometry)
data_La3SmTh2S6
_space_group_name_H-M_alt 'C 1 2/m 1'
_space_group_IT_number 12
_space_group_name_Hall '-C 2y'
_cell_length_a 7.089
_cell_length_b 12.227
_cell_length_c 7.101
_cell_angle_alpha 90.00
_cell_angle_beta 109.28
_cell_angle_gamma 90.00
loop_
_atom_site_label
_atom_site_type_symbol
_atom_site_fract_x
_atom_site_fract_y
_atom_site_fract_z
La1 La 0.000 0.000 0.000
La2 La 0.000 0.334 0.000
Sm1 Sm 0.000 0.500 0.500
Th1 Th 0.000 0.167 0.500
S1 S 0.246 0.334 0.742
S2 S 0.249 0.000 0.741
# * crystal system: monoclinic
# * uncorrected formation energy: -2.03 eV/atom

***

Record 5
# Dy2ZrPb3 (PBE, optimized geometry)
data_Dy2ZrPb3
_space_group_name_H-M_alt 'C m c m'
_space_group_IT_number 63
_space_group_name_Hall '-C 2c 2'
_cell_length_a 16.199
_cell_length_b 6.366
_cell_length_c 6.518
_cell_angle_alpha 90.00
_cell_angle_beta 90.00
_cell_angle_gamma 90.00
loop_
_atom_site_label
_atom_site_type_symbol
_atom_site_fract_x
_atom_site_fract_y
_atom_site_fract_z
Dy1 Dy 0.163 0.231 0.250
Zr1 Zr 0.000 0.500 0.000
Pb1 Pb 0.000 0.000 0.000
Pb2 Pb 0.144 0.279 0.750
# * crystal system: orthorhombic
# * formation energy from the elements: -0.307 eV/atom

***

Record 6
# CuSiRh2 (PBE, optimized geometry)
data_CuSiRh2
_space_group_name_H-M_alt 'I -4 2 d'
_space_group_IT_number 122
_space_group_name_Hall 'I -4 2bw'
_cell_length_a 3.768
_cell_length_b 3.768
_cell_length_c 16.707
_cell_angle_alpha 90.00
_cell_angle_beta 90.00
_cell_angle_gamma 90.00
loop_
_atom_site_label
_atom_site_type_symbol
_atom_site_fract_x
_atom_site_fract_y
_atom_site_fract_z
Cu1 Cu 0.000 0.000 0.000
Si1 Si 0.000 0.000 0.500
Rh1 Rh 0.249 0.250 0.125
# * crystal system: tetragonal
# * uncorrected formation energy: 0.12 eV/atom

***

Record 7
# LiTiMo3 (PBE, optimized geometry)
data_LiTiMo3
_space_group_name_H-M_alt 'P m -3 m'
_space_group_IT_number 221
_space_group_name_Hall '-P 4 2 3'
_cell_length_a 4.601
_cell_length_b 4.601
_cell_length_c 4.601
_cell_angle_alpha 90.00
_cell_angle_beta 90.00
_cell_angle_gamma 90.00
loop_
_atom_site_label
_atom_site_type_symbol
_atom_site_fract_x
_atom_site_fract_y
_atom_site_fract_z
Li1 Li 0.000 0.000 0.000
Ti1 Ti 0.500 0.500 0.500
Mo1 Mo 0.000 0.500 0.500
# * crystal system: cubic
# * distance to the lowest polymorph of the same formula: 314 meV per atom
# * formation energy from the elements: 1.483 eV/atom

***

Record 8
# HoTm3Co4 (PBE, optimized geometry)
data_HoTm3Co4
_space_group_name_H-M_alt 'P 4/m m m'
_space_group_IT_number 123
_space_group_name_Hall '-P 4 2'
_cell_length_a 4.653
_cell_length_b 4.653
_cell_length_c 6.613
_cell_angle_alpha 90.00
_cell_angle_beta 90.00
_cell_angle_gamma 90.00
loop_
_atom_site_label
_atom_site_type_symbol
_atom_site_fract_x
_atom_site_fract_y
_atom_site_fract_z
Ho1 Ho 0.000 0.000 0.000
Tm1 Tm 0.000 0.000 0.500
Tm2 Tm 0.500 0.500 0.000
Tm3 Tm 0.500 0.500 0.500
Co1 Co 0.000 0.500 0.251
# * crystal system: tetragonal
# * formation energy from the elements: -0.210 eV/atom

***

Record 9
# Hf2SnGe (PBE, optimized geometry)
data_Hf2SnGe
_space_group_name_H-M_alt 'R 3 m'
_space_group_IT_number 160
_space_group_name_Hall 'R 3 -2"'
_cell_length_a 3.6734
_cell_length_b 3.6734
_cell_length_c 22.6536
_cell_angle_alpha 90.00
_cell_angle_beta 90.00
_cell_angle_gamma 120.00
loop_
_atom_site_label
_atom_site_type_symbol
_atom_site_fract_x
_atom_site_fract_y
_atom_site_fract_z
Hf1 Hf 0.0000 0.0000 0.0000
Hf2 Hf 0.0000 0.0000 0.1939
Sn1 Sn 0.0000 0.0000 0.7645
Ge1 Ge 0.0000 0.0000 0.5960
# * crystal system: trigonal
# * distance to the lowest polymorph of the same formula: 0 meV per atom
# * formation energy from the elements: -0.357 eV/atom

***

Record 10
# AcYPu2Se4 (PBE, optimized geometry)
data_AcYPu2Se4
_space_group_name_H-M_alt 'P 1 2/m 1'
_space_group_IT_number 10
_space_group_name_Hall '-P 2y'
_cell_length_a 7.250
_cell_length_b 4.209
_cell_length_c 7.404
_cell_angle_alpha 90.00
_cell_angle_beta 109.39
_cell_angle_gamma 90.00
loop_
_atom_site_label
_atom_site_type_symbol
_atom_site_fract_x
_atom_site_fract_y
_atom_site_fract_z
Ac1 Ac 0.000 0.000 0.000
Y1 Y 0.000 0.500 0.500
Pu1 Pu 0.500 0.000 0.500
Pu2 Pu 0.500 0.500 0.000
Se1 Se 0.253 0.000 0.740
Se2 Se 0.262 0.500 0.268
# * crystal system: monoclinic
# * uncorrected formation energy: -1.65 eV/atom

***

Record 11
# Mg6ZnFe (PBE, optimized geometry)
data_Mg6ZnFe
_space_group_name_H-M_alt 'A m m 2'
_space_group_IT_number 38
_space_group_name_Hall 'A 2 -2'
_cell_length_a 4.820
_cell_length_b 6.104
_cell_length_c 10.511
_cell_angle_alpha 90.00
_cell_angle_beta 90.00
_cell_angle_gamma 90.00
loop_
_atom_site_label
_atom_site_type_symbol
_atom_site_fract_x
_atom_site_fract_y
_atom_site_fract_z
Mg1 Mg 0.000 0.000 0.000
Mg2 Mg 0.000 0.000 0.497
Mg3 Mg 0.000 0.243 0.259
Mg4 Mg 0.500 0.249 0.589
Zn1 Zn 0.500 0.000 0.838
Fe1 Fe 0.500 0.000 0.340
# * crystal system: orthorhombic
# * distance to the lowest polymorph of the same formula: 5 meV per atom
# * formation energy from the elements: 0.122 eV/atom

***

Record 12
# TaAl2Sb (PBE, optimized geometry)
data_TaAl2Sb
_space_group_name_H-M_alt 'C m m 2'
_space_group_IT_number 35
_space_group_name_Hall 'C 2 -2'
_cell_length_a 3.854
_cell_length_b 4.654
_cell_length_c 8.731
_cell_angle_alpha 90.00
_cell_angle_beta 90.00
_cell_angle_gamma 90.00
loop_
_atom_site_label
_atom_site_type_symbol
_atom_site_fract_x
_atom_site_fract_y
_atom_site_fract_z
Ta1 Ta 0.000 0.000 0.000
Al1 Al 0.000 0.000 0.559
Al2 Al 0.000 0.500 0.779
Sb1 Sb 0.000 0.500 0.253
# * crystal system: orthorhombic
# * uncorrected formation energy: 0.11 eV/atom

***

| no. | DFT total energy (eV/f.u.) | Fermi-level density of states (states/eV per cell) | total moment (μB per formula unit) |
| --- | --- | --- | --- |
| 1 | -25.9 | 40.32 | 5.60 |
| 2 | -34.9 | 21.85 | 0.00 |
| 3 | -11.6 | 2.36 | 0.00 |
| 4 | -83.4 | 14.27 | 0.00 |
| 5 | -30.7 | 20.17 | 0.00 |
| 6 | -23.7 | 16.21 | 0.00 |
| 7 | -34.9 | 4.24 | 0.00 |
| 8 | -48.1 | 3.67 | 1.38 |
| 9 | -30.0 | 7.36 | 0.00 |
| 10 | -66.4 | 19.94 | 0.10 |
| 11 | -18.3 | 8.89 | 2.42 |
| 12 | -23.0 | 2.46 | 0.00 |